{"formula": "Np3Tl2NiO12", "functional": "GGA+U", "state": "optimized geometry", "sg": "No. 166", "energy_ev_per_atom": -8.01, "crystal_system": "trigonal", "volume_a3_per_atom": 17.551, "lattice": [[3.942, 2.276, 5.868], [-3.942, 2.276, 5.868], [0.000, -4.552, 5.868]], "species": ["Np", "Np", "Np", "Tl", "Tl", "Ni", "O", "O", "O", "O", "O", "O", "O", "O", "O", "O", "O", "O"], "fractional_positions": [[0.000, 0.500, 0.500], [0.500, 0.000, 0.500], [0.500, 0.500, 0.000], [0.117, 0.117, 0.117], [0.883, 0.883, 0.883], [0.500, 0.500, 0.500], [0.177, 0.177, 0.568], [0.177, 0.568, 0.177], [0.185, 0.561, 0.561], [0.432, 0.823, 0.823], [0.439, 0.439, 0.815], [0.439, 0.815, 0.439], [0.561, 0.185, 0.561], [0.561, 0.561, 0.185], [0.568, 0.177, 0.177], [0.815, 0.439, 0.439], [0.823, 0.432, 0.823], [0.823, 0.823, 0.432]]}